DFT (PBE) results for crystalline PRu2Au at its relaxed geometry.

abc: 2.901 2.901 6.813
angles: 90.00 90.00 90.00
Positions (direct):
P1 0.000 0.000 0.000
Ru1 0.500 0.500 0.196
Ru2 0.500 0.500 0.804
Au1 0.000 0.000 0.500

Summary:
**Total magnetization**: 0.00 μB per formula unit
**Calculated formation energy**: -0.3 eV per formula unit
**SG**: P4/mmm
**DOS at the Fermi energy**: 4.92 states/eV/cell